DFT (PBE) results for a geometry-optimized IrPtW structure.

Cell lengths 4.803, 4.803, 5.657 Å; angles 106.47, 106.47, 48.17 degrees
Element x y z (fractional)
Ir (0.012, 0.012, 0.273)
Ir (0.988, 0.988, 0.727)
Pt (0.329, 0.329, 0.910)
Pt (0.671, 0.671, 0.090)
W (0.334, 0.334, 0.401)
W (0.666, 0.666, 0.599)

Properties
The value obtained for the magnetization is 0.00 μB per cell. The value obtained for the final energy is -9.51 eV per atom. As for the formation energy: -0.22 eV/atom. The density of states at the Fermi level comes out at 0.74 states/eV per atom. The calculation puts the energy above the most stable polymorph in this dataset at 76 meV per atom.